<1>
! TbErTe, optimized geometry, DFT PBE-GGA; values from VASP
&SYSTEM
  ibrav = 0, nat = 18, ntyp = 3
/
ATOMIC_SPECIES
Tb 158.93 Tb.upf
Er 167.26 Er.upf
Te 127.60 Te.upf
CELL_PARAMETERS angstrom
8.4353 0.0000 0.0000
0.0000 4.0256 0.0000
-0.2120 0.0000 14.7876
ATOMIC_POSITIONS angstrom
Tb 0.2412 1.0064 4.2965
Tb 2.8249 3.0192 13.4235
Tb 3.7255 3.0192 9.0659
Tb 4.4978 1.0064 5.7217
Tb 5.3985 1.0064 1.3641
Tb 7.9822 3.0192 10.4912
Er -0.1604 1.0064 13.3710
Er 1.0333 1.0064 8.0944
Er 2.9972 3.0192 3.0663
Er 5.2261 1.0064 11.7213
Er 7.1900 3.0192 6.6932
Er 8.3837 3.0192 1.4166
Te 2.1155 3.0192 6.0493
Te 2.1028 1.0064 11.0660
Te 2.2791 1.0064 0.8523
Te 5.9442 3.0192 13.9353
Te 6.1205 3.0192 3.7216
Te 6.1079 1.0064 8.7384
! * total moment: 0.0 Bohr magnetons per cell
! * calculated density: 9.00 g/cm3

***

<2>
! TbErTe, optimized geometry, DFT PBE-GGA; values from VASP
&SYSTEM
  ibrav = 0, nat = 3, ntyp = 3
/
ATOMIC_SPECIES
Tb 158.93 Tb.upf
Er 167.26 Er.upf
Te 127.60 Te.upf
CELL_PARAMETERS angstrom
5.1425 0.0000 0.0000
-2.5712 4.4535 0.0000
0.0000 0.0000 3.9626
ATOMIC_POSITIONS angstrom
Tb 0.0000 0.0000 0.0000
Er 0.0000 2.9690 2.0134
Te 2.5712 1.4845 2.8793
! * total moment: 0.0 Bohr magnetons per cell
! * calculated density: 8.30 g/cm3

***

<3>
! TbErTe, optimized geometry, DFT PBE-GGA; values from VASP
&SYSTEM
  ibrav = 0, nat = 12, ntyp = 3
/
ATOMIC_SPECIES
Tb 158.93 Tb.upf
Er 167.26 Er.upf
Te 127.60 Te.upf
CELL_PARAMETERS angstrom
8.2180 -1.9941 0.0000
8.2180 1.9941 0.0000
-0.6112 0.0000 11.0847
ATOMIC_POSITIONS angstrom
Tb 0.1514 0.0000 3.9068
Tb 6.1942 0.0000 1.8446
Tb 9.6306 0.0000 9.2401
Tb 15.6735 0.0000 7.1780
Er 3.0671 0.0000 0.8512
Er 3.7350 0.0000 7.4008
Er 12.0899 0.0000 3.6839
Er 12.7578 0.0000 10.2335
Te 6.0029 0.0000 5.1051
Te 6.5407 0.0000 9.2935
Te 9.2841 0.0000 1.7913
Te 9.8219 0.0000 5.9796
! * total moment: 0.6 Bohr magnetons per cell
! * calculated density: 8.30 g/cm3

***

<4>
! TbErTe, optimized geometry, DFT PBE-GGA; values from VASP
&SYSTEM
  ibrav = 0, nat = 3, ntyp = 3
/
ATOMIC_SPECIES
Tb 158.93 Tb.upf
Er 167.26 Er.upf
Te 127.60 Te.upf
CELL_PARAMETERS angstrom
-1.9271 1.9271 5.7709
1.9271 -1.9271 5.7709
1.9271 1.9271 -5.7709
ATOMIC_POSITIONS angstrom
Tb 0.0000 0.0000 0.0000
Er 0.0000 0.0000 3.6045
Te 0.0000 0.0000 7.6168
! * total moment: 0.0 Bohr magnetons per cell
! * calculated density: 8.79 g/cm3

***

Most stable = <1>

***

<1>
! TbEr3Te6, optimized geometry, DFT PBE-GGA; values from VASP
&SYSTEM
  ibrav = 0, nat = 20, ntyp = 3
/
ATOMIC_SPECIES
Tb 158.93 Tb.upf
Er 167.26 Er.upf
Te 127.60 Te.upf
CELL_PARAMETERS angstrom
6.3792 3.6830 5.1370
-6.3792 3.6830 5.1370
0.0000 -7.3660 5.1370
ATOMIC_POSITIONS angstrom
Tb 0.0000 0.0000 0.0000
Tb 0.0000 0.0000 7.7054
Er -4.2622 -1.2768 7.1913
Er -1.0254 -4.3295 8.2196
Er -3.2368 3.0528 8.2196
Er 3.2368 -3.0528 7.1913
Er 1.0254 4.3295 7.1913
Er 4.2622 1.2767 8.2196
Te -4.0774 -4.0575 8.3342
Te -5.5526 1.5024 7.0766
Te -1.4456 -2.1572 6.0583
Te 1.4752 -5.5598 7.0767
Te -1.1454 2.3305 6.0583
Te -2.5910 0.1733 9.3526
Te 2.5910 -0.1733 6.0583
Te 1.1454 -2.3305 9.3526
Te -1.4752 5.5598 8.3342
Te 1.4456 2.1572 9.3526
Te 5.5526 -1.5024 8.3342
Te 4.0774 4.0575 7.0766
! * total moment: 0.0 Bohr magnetons per cell
! * calculated density: 6.54 g/cm3

***

<2>
! TbEr3Te6, optimized geometry, DFT PBE-GGA; values from VASP
&SYSTEM
  ibrav = 0, nat = 20, ntyp = 3
/
ATOMIC_SPECIES
Tb 158.93 Tb.upf
Er 167.26 Er.upf
Te 127.60 Te.upf
CELL_PARAMETERS angstrom
12.4116 0.0000 0.0000
0.0000 4.3284 0.0000
-4.2293 0.0000 12.0061
ATOMIC_POSITIONS angstrom
Tb -0.2660 1.0821 2.3435
Tb 8.4483 3.2463 9.6626
Er -0.5222 1.0821 6.9681
Er -0.2958 3.2463 11.9796
Er 3.9502 1.0821 4.0106
Er 4.2321 3.2463 7.9955
Er 8.4781 1.0821 0.0265
Er 8.7046 3.2463 5.0380
Te -0.6547 3.2463 4.8040
Te -2.7077 1.0821 11.6147
Te -0.7851 3.2463 9.0073
Te 2.2120 3.2463 2.6456
Te 2.4985 1.0821 6.7407
Te 5.4919 1.0821 1.4109
Te 2.6904 3.2463 10.5952
Te 5.6838 3.2463 5.2654
Te 5.9703 1.0821 9.3605
Te 8.9674 1.0821 2.9988
Te 10.8900 3.2463 0.3914
Te 8.8370 1.0821 7.2021
! * total moment: 0.0 Bohr magnetons per cell
! * calculated density: 7.34 g/cm3

***

Most stable = <2>

***

<1>
! TbEr2Te, optimized geometry, DFT PBE-GGA; values from VASP
&SYSTEM
  ibrav = 0, nat = 4, ntyp = 3
/
ATOMIC_SPECIES
Tb 158.93 Tb.upf
Er 167.26 Er.upf
Te 127.60 Te.upf
CELL_PARAMETERS angstrom
1.8856 1.0886 10.7660
-1.8856 1.0886 10.7660
0.0000 -2.1773 10.7660
ATOMIC_POSITIONS angstrom
Tb 0.0000 0.0000 0.0000
Er 0.0000 0.0000 3.3109
Er 0.0000 0.0000 28.9869
Te 0.0000 0.0000 16.1489
! * total moment: 1.2 Bohr magnetons per cell
! * calculated density: 7.78 g/cm3

***

<2>
! TbEr2Te, optimized geometry, DFT PBE-GGA; values from VASP
&SYSTEM
  ibrav = 0, nat = 4, ntyp = 3
/
ATOMIC_SPECIES
Tb 158.93 Tb.upf
Er 167.26 Er.upf
Te 127.60 Te.upf
CELL_PARAMETERS angstrom
1.9243 1.1110 9.7384
-1.9243 1.1110 9.7384
0.0000 -2.2219 9.7384
ATOMIC_POSITIONS angstrom
Tb 0.0000 0.0000 0.0000
Er 0.0000 0.0000 6.9749
Er 0.0000 0.0000 12.4824
Te 0.0000 0.0000 24.3415
! * total moment: 0.0 Bohr magnetons per cell
! * calculated density: 8.26 g/cm3

***

Most stable = <2>

***

<1>
! TbEr2Te, optimized geometry, DFT PBE-GGA; values from VASP
&SYSTEM
  ibrav = 0, nat = 4, ntyp = 3
/
ATOMIC_SPECIES
Tb 158.93 Tb.upf
Er 167.26 Er.upf
Te 127.60 Te.upf
CELL_PARAMETERS angstrom
3.8312 0.0000 0.0000
0.0000 3.8312 0.0000
0.0000 0.0000 7.8931
ATOMIC_POSITIONS angstrom
Tb 0.0000 0.0000 0.0000
Er 1.9156 1.9156 2.1722
Er 1.9156 1.9156 5.7209
Te 0.0000 0.0000 3.9466
! * total moment: 0.0 Bohr magnetons per cell
! * calculated density: 8.90 g/cm3

***

<2>
! TbEr2Te, optimized geometry, DFT PBE-GGA; values from VASP
&SYSTEM
  ibrav = 0, nat = 8, ntyp = 3
/
ATOMIC_SPECIES
Tb 158.93 Tb.upf
Er 167.26 Er.upf
Te 127.60 Te.upf
CELL_PARAMETERS angstrom
1.9598 -6.0271 0.0000
1.9598 6.0271 0.0000
0.0000 0.0000 9.7937
ATOMIC_POSITIONS angstrom
Tb 1.9598 5.3607 7.3453
Tb 1.9598 -5.3607 2.4484
Er 1.9598 1.6285 5.2499
Er 1.9598 1.6285 9.4407
Er 1.9598 -1.6285 0.3530
Er 1.9598 -1.6285 4.5438
Te 1.9598 3.2018 2.4484
Te 1.9598 -3.2018 7.3453
! * total moment: 0.0 Bohr magnetons per cell
! * calculated density: 8.91 g/cm3

***

Most stable = <2>